(1)
Material: ZnAs3C
Method: DFT, GGA-PBE
State: optimized geometry

- Energy of formation: 1993 meV per atom
- Polymorph energy (0 for the lowest one): 936.5 meV/atom
- Space group: Pm-3m (221)
- Energy: -14.5 eV per cell

Cell lengths 4.762, 4.762, 4.762 Å; angles 90.00, 90.00, 90.00 degrees
Atoms (fractional coordinates):
C: 0.500 0.500 0.500
As: 0.000 0.500 0.000
As: 0.000 0.000 0.500
As: 0.500 0.000 0.000
Zn: 0.000 0.000 0.000

***

(2)
Material: Zn2As2C
Method: DFT, GGA-PBE
State: optimized geometry

- Energy of formation: 1311 meV per atom
- Polymorph energy (0 for the lowest one): 334.7 meV/atom
- Space group: I4/mmm (139)
- Energy: -14.5 eV per cell

Cell lengths 4.484, 4.484, 5.756 Å; angles 67.08, 67.08, 90.00 degrees
Atoms (fractional coordinates):
C: 0.000 0.000 0.000
As: 0.375 0.375 0.251
As: 0.625 0.625 0.749
Zn: 0.750 0.250 0.500
Zn: 0.250 0.750 0.500

***

(3)
Material: ZrAsC
Method: DFT, GGA-PBE
State: optimized geometry

- Energy of formation: -323 meV per atom
- Polymorph energy (0 for the lowest one): 0.0 meV/atom
- Space group: C2/m (12)
- Energy: -93.6 eV per cell

Cell lengths 7.768, 3.480, 7.374 Å; angles 90.00, 96.93, 90.00 degrees
Atoms (fractional coordinates):
As: 0.109 0.000 0.800
As: 0.891 0.000 0.200
As: 0.109 0.500 0.300
As: 0.891 0.500 0.700
C: 0.549 0.000 0.586
C: 0.451 0.000 0.414
C: 0.549 0.500 0.086
C: 0.451 0.500 0.914
Zr: 0.653 0.000 0.880
Zr: 0.347 0.000 0.120
Zr: 0.653 0.500 0.380
Zr: 0.347 0.500 0.620

***

(4)
Material: Zr3As2C
Method: DFT, GGA-PBE
State: optimized geometry

- Energy of formation: -905 meV per atom
- Space group: Immm (71)
- Energy: -99.2 eV per cell

Cell lengths 5.255, 7.107, 6.626 Å; angles 105.54, 113.36, 90.00 degrees
Atoms (fractional coordinates):
Zr: 0.500 0.250 0.000
Zr: 0.500 0.750 0.000
Zr: 0.132 0.066 0.264
Zr: 0.868 0.434 0.736
Zr: 0.132 0.566 0.264
Zr: 0.868 0.934 0.736
As: 0.677 0.588 0.353
As: 0.677 0.088 0.353
As: 0.323 0.912 0.647
As: 0.323 0.412 0.647
C: 0.000 0.750 0.000
C: 0.000 0.250 0.000